Record 1
First-principles (PBE-GGA) data for an optimized crystal structure of Zn2CdSb, as listed in Alexandria.

Geometry as CIF:
```
data_Zn2CdSb
_cell_length_a 4.223
_cell_length_b 4.646
_cell_length_c 8.578
_cell_angle_alpha 90.00
_cell_angle_beta 90.00
_cell_angle_gamma 90.00
_symmetry_space_group_name_H-M 'C m m 2'
_symmetry_Int_Tables_number 35
_symmetry_space_group_name_Hall 'C 2 -2'
loop_
_atom_site_label
_atom_site_type_symbol
_atom_site_fract_x
_atom_site_fract_y
_atom_site_fract_z
_atom_site_occupancy
Zn1 Zn 0.000 0.000 0.000 1
Zn2 Zn 0.000 0.500 0.187 1
Cd1 Cd 0.000 0.500 0.763 1
Sb1 Sb 0.000 0.000 0.449 1
```

**Formation energy (no corrections)**: 0.1472 eV/atom
**Excess energy over the best structure of this formula in the dataset**: 50 meV per atom

=====

Record 2
First-principles (PBE-GGA) data for an optimized crystal structure of Li3Pd3Pb2, as listed in Alexandria.

Geometry as CIF:
```
data_Li3Pd3Pb2
_cell_length_a 12.982
_cell_length_b 4.733
_cell_length_c 4.995
_cell_angle_alpha 90.00
_cell_angle_beta 112.43
_cell_angle_gamma 90.00
_symmetry_space_group_name_H-M 'C 1 2/m 1'
_symmetry_Int_Tables_number 12
_symmetry_space_group_name_Hall '-C 2y'
loop_
_atom_site_label
_atom_site_type_symbol
_atom_site_fract_x
_atom_site_fract_y
_atom_site_fract_z
_atom_site_occupancy
Li1 Li 0.000 0.000 0.000 1
Li2 Li 0.113 0.000 0.616 1
Pd1 Pd 0.000 0.500 0.500 1
Pd2 Pd 0.118 0.500 0.117 1
Pb1 Pb 0.243 0.500 0.742 1
```

**Energy relative to the elements**: -0.3229 eV per atom
**Excess energy over the best structure of this formula in the dataset**: 103 meV per atom

=====

Record 3
First-principles (PBE-GGA) data for an optimized crystal structure of BaPb2F, as listed in Alexandria.

Geometry as CIF:
```
data_BaPb2F
_cell_length_a 7.896
_cell_length_b 7.896
_cell_length_c 7.896
_cell_angle_alpha 90.00
_cell_angle_beta 90.00
_cell_angle_gamma 90.00
_symmetry_space_group_name_H-M 'F m -3 m'
_symmetry_Int_Tables_number 225
_symmetry_space_group_name_Hall '-F 4 2 3'
loop_
_atom_site_label
_atom_site_type_symbol
_atom_site_fract_x
_atom_site_fract_y
_atom_site_fract_z
_atom_site_occupancy
Ba1 Ba 0.000 0.000 0.000 1
Pb1 Pb 0.250 0.250 0.250 1
F1 F 0.000 0.000 0.500 1
```

**Formation energy (no corrections)**: -0.5341 eV/atom
**Excess energy over the best structure of this formula in the dataset**: 279 meV per atom